(1)
# PBE Er2AlSn, relaxed
# Theoretical density   7.8 Mg/m³
# ΔH_f (0 K)   -0.57 eV/atom
# Calculated volume   25.70 Å³ per atom
# Total moment   0.000 μB/atom
# Uncorrected energy   -4.793 eV/atom
data_Er2AlSn
_chemical_formula_sum 'Er4 Al2 Sn2'
_cell_length_a 5.9864
_cell_length_b 4.1599
_cell_length_c 8.6710
_cell_angle_alpha 90.00
_cell_angle_beta 107.78
_cell_angle_gamma 90.00
_symmetry_space_group_name_H-M 'P 1 21/m 1'
_symmetry_Int_Tables_number 11
_symmetry_space_group_name_Hall '-P 2yb'
loop_
_atom_site_label
_atom_site_type_symbol
_atom_site_fract_x
_atom_site_fract_y
_atom_site_fract_z
_atom_site_occupancy
Er1 Er 0.1990 0.2500 0.4273 1
Er2 Er 0.2822 0.7500 0.0664 1
Al1 Al 0.1276 0.2500 0.7915 1
Sn1 Sn 0.3765 0.7500 0.7094 1

---

(2)
# PBE Er2AlSn, relaxed
# Theoretical density   8.1 Mg/m³
# ΔH_f (0 K)   -0.44 eV/atom
# Calculated volume   24.64 Å³ per atom
# Total moment   0.000 μB/atom
# Uncorrected energy   -4.660 eV/atom
data_Er2AlSn
_chemical_formula_sum 'Er2 Al1 Sn1'
_cell_length_a 3.8190
_cell_length_b 3.8190
_cell_length_c 6.7589
_cell_angle_alpha 90.00
_cell_angle_beta 90.00
_cell_angle_gamma 90.00
_symmetry_space_group_name_H-M 'P 4/m m m'
_symmetry_Int_Tables_number 123
_symmetry_space_group_name_Hall '-P 4 2'
loop_
_atom_site_label
_atom_site_type_symbol
_atom_site_fract_x
_atom_site_fract_y
_atom_site_fract_z
_atom_site_occupancy
Er1 Er 0.0000 0.0000 0.2446 1
Al1 Al 0.5000 0.5000 0.0000 1
Sn1 Sn 0.5000 0.5000 0.5000 1

---

(3)
# PBE SrEr2Al9, relaxed
# Theoretical density   4.6 Mg/m³
# ΔH_f (0 K)   -0.32 eV/atom
# Calculated volume   20.16 Å³ per atom
# Total moment   0.000 μB/atom
# Uncorrected energy   -4.032 eV/atom
data_SrEr2Al9
_chemical_formula_sum 'Sr3 Er6 Al27'
_cell_length_a 5.6303
_cell_length_b 5.6303
_cell_length_c 26.4415
_cell_angle_alpha 90.00
_cell_angle_beta 90.00
_cell_angle_gamma 120.00
_symmetry_space_group_name_H-M 'R -3 m'
_symmetry_Int_Tables_number 166
_symmetry_space_group_name_Hall '-R 3 2"'
loop_
_atom_site_label
_atom_site_type_symbol
_atom_site_fract_x
_atom_site_fract_y
_atom_site_fract_z
_atom_site_occupancy
Sr1 Sr 0.0000 0.0000 0.0000 1
Er1 Er 0.0000 0.0000 0.1423 1
Al1 Al 0.0000 0.0000 0.3357 1
Al2 Al 0.0000 0.0000 0.5000 1
Al3 Al 0.0078 0.5039 0.9148 1

---

(4)
# PBE SrErAl2, relaxed
# Theoretical density   4.9 Mg/m³
# ΔH_f (0 K)   -0.15 eV/atom
# Calculated volume   26.21 Å³ per atom
# Total moment   0.000 μB/atom
# Polymorph energy (0 for the lowest one)   88.5 meV/atom
# Uncorrected energy   -3.586 eV/atom
data_SrErAl2
_chemical_formula_sum 'Sr4 Er4 Al8'
_cell_length_a 7.4848
_cell_length_b 7.4848
_cell_length_c 7.4848
_cell_angle_alpha 90.00
_cell_angle_beta 90.00
_cell_angle_gamma 90.00
_symmetry_space_group_name_H-M 'F m -3 m'
_symmetry_Int_Tables_number 225
_symmetry_space_group_name_Hall '-F 4 2 3'
loop_
_atom_site_label
_atom_site_type_symbol
_atom_site_fract_x
_atom_site_fract_y
_atom_site_fract_z
_atom_site_occupancy
Sr1 Sr 0.0000 0.0000 0.0000 1
Er1 Er 0.0000 0.0000 0.5000 1
Al1 Al 0.2500 0.2500 0.2500 1

---

(5)
# PBE SrErAl2, relaxed
# Theoretical density   4.9 Mg/m³
# ΔH_f (0 K)   -0.24 eV/atom
# Calculated volume   26.33 Å³ per atom
# Total moment   0.000 μB/atom
# Polymorph energy (0 for the lowest one)   0.0 meV/atom
# Uncorrected energy   -3.674 eV/atom
data_SrErAl2
_chemical_formula_sum 'Sr1 Er1 Al2'
_cell_length_a 3.7362
_cell_length_b 3.7362
_cell_length_c 7.5454
_cell_angle_alpha 90.00
_cell_angle_beta 90.00
_cell_angle_gamma 90.00
_symmetry_space_group_name_H-M 'P 4/m m m'
_symmetry_Int_Tables_number 123
_symmetry_space_group_name_Hall '-P 4 2'
loop_
_atom_site_label
_atom_site_type_symbol
_atom_site_fract_x
_atom_site_fract_y
_atom_site_fract_z
_atom_site_occupancy
Sr1 Sr 0.0000 0.0000 0.0000 1
Er1 Er 0.0000 0.0000 0.5000 1
Al1 Al 0.5000 0.5000 0.2892 1

---

(6)
# PBE SrErAl4, relaxed
# Theoretical density   4.7 Mg/m³
# ΔH_f (0 K)   -0.33 eV/atom
# Calculated volume   21.58 Å³ per atom
# Total moment   0.000 μB/atom
# Uncorrected energy   -3.865 eV/atom
data_SrErAl4
_chemical_formula_sum 'Sr4 Er4 Al16'
_cell_length_a 8.0305
_cell_length_b 8.0305
_cell_length_c 8.0305
_cell_angle_alpha 90.00
_cell_angle_beta 90.00
_cell_angle_gamma 90.00
_symmetry_space_group_name_H-M 'F -4 3 m'
_symmetry_Int_Tables_number 216
_symmetry_space_group_name_Hall 'F -4 2 3'
loop_
_atom_site_label
_atom_site_type_symbol
_atom_site_fract_x
_atom_site_fract_y
_atom_site_fract_z
_atom_site_occupancy
Sr1 Sr 0.0000 0.0000 0.0000 1
Er1 Er 0.2500 0.2500 0.7500 1
Al1 Al 0.1245 0.1245 0.3755 1

---

(7)
# PBE SrErAl, relaxed
# Theoretical density   5.0 Mg/m³
# ΔH_f (0 K)   -0.09 eV/atom
# Calculated volume   31.36 Å³ per atom
# Total moment   0.000 μB/atom
# Polymorph energy (0 for the lowest one)   56.2 meV/atom
# Uncorrected energy   -3.419 eV/atom
data_SrErAl
_chemical_formula_sum 'Sr2 Er2 Al2'
_cell_length_a 3.7363
_cell_length_b 3.7363
_cell_length_c 13.4772
_cell_angle_alpha 90.00
_cell_angle_beta 90.00
_cell_angle_gamma 90.00
_symmetry_space_group_name_H-M 'I 4 m m'
_symmetry_Int_Tables_number 107
_symmetry_space_group_name_Hall 'I 4 -2'
loop_
_atom_site_label
_atom_site_type_symbol
_atom_site_fract_x
_atom_site_fract_y
_atom_site_fract_z
_atom_site_occupancy
Sr1 Sr 0.0000 0.0000 0.0000 1
Er1 Er 0.0000 0.0000 0.2762 1
Al1 Al 0.0000 0.0000 0.6637 1

---

(8)
# PBE SrEr3Al8, relaxed
# Theoretical density   5.4 Mg/m³
# ΔH_f (0 K)   -0.41 eV/atom
# Calculated volume   20.75 Å³ per atom
# Total moment   0.000 μB/atom
# Uncorrected energy   -4.184 eV/atom
data_SrEr3Al8
_chemical_formula_sum 'Sr1 Er3 Al8'
_cell_length_a 5.6046
_cell_length_b 5.6046
_cell_length_c 9.1549
_cell_angle_alpha 90.00
_cell_angle_beta 90.00
_cell_angle_gamma 120.00
_symmetry_space_group_name_H-M 'P 3 m 1'
_symmetry_Int_Tables_number 156
_symmetry_space_group_name_Hall 'P 3 -2"'
loop_
_atom_site_label
_atom_site_type_symbol
_atom_site_fract_x
_atom_site_fract_y
_atom_site_fract_z
_atom_site_occupancy
Sr1 Sr 0.0000 0.0000 0.0000 1
Er1 Er 0.0000 0.0000 0.3679 1
Er2 Er 0.6667 0.3333 0.5011 1
Er3 Er 0.6667 0.3333 0.8650 1
Al1 Al 0.1625 0.3250 0.6767 1
Al2 Al 0.3333 0.6667 0.4346 1
Al3 Al 0.3333 0.6667 0.9327 1
Al4 Al 0.5050 0.0100 0.1917 1

---

(9)
# PBE SrErAl, relaxed
# Theoretical density   4.7 Mg/m³
# ΔH_f (0 K)   -0.15 eV/atom
# Calculated volume   33.22 Å³ per atom
# Total moment   0.001 μB/atom
# Polymorph energy (0 for the lowest one)   0.0 meV/atom
# Uncorrected energy   -3.475 eV/atom
data_SrErAl
_chemical_formula_sum 'Sr2 Er2 Al2'
_cell_length_a 4.9862
_cell_length_b 4.9862
_cell_length_c 8.0175
_cell_angle_alpha 90.00
_cell_angle_beta 90.00
_cell_angle_gamma 90.00
_symmetry_space_group_name_H-M 'P 4/n m m'
_symmetry_Int_Tables_number 129
loop_
_symmetry_equiv_pos_as_xyz
'x,y,z'
'-x,-y,-z'
'-y+1/2,x,z'
'y+1/2,-x,-z'
'-x+1/2,-y+1/2,z'
'x+1/2,y+1/2,-z'
'y,-x+1/2,z'
'-y,x+1/2,-z'
'x+1/2,-y,-z'
'-x+1/2,y,z'
'-y,-x,-z'
'y,x,z'
'-x,y+1/2,-z'
'x,-y+1/2,z'
'y+1/2,x+1/2,-z'
'-y+1/2,-x+1/2,z'
loop_
_atom_site_label
_atom_site_type_symbol
_atom_site_fract_x
_atom_site_fract_y
_atom_site_fract_z
_atom_site_occupancy
Sr1 Sr 0.2500 0.2500 0.1436 1
Er1 Er 0.2500 0.7500 0.5000 1
Al1 Al 0.2500 0.2500 0.7211 1

---

(10)
# PBE Sr3ErAl8, relaxed
# Theoretical density   4.0 Mg/m³
# ΔH_f (0 K)   -0.29 eV/atom
# Calculated volume   22.60 Å³ per atom
# Total moment   0.000 μB/atom
# Uncorrected energy   -3.589 eV/atom
data_Sr3ErAl8
_chemical_formula_sum 'Sr9 Er3 Al24'
_cell_length_a 5.7574
_cell_length_b 5.7574
_cell_length_c 28.3469
_cell_angle_alpha 90.00
_cell_angle_beta 90.00
_cell_angle_gamma 120.00
_symmetry_space_group_name_H-M 'R 3 m'
_symmetry_Int_Tables_number 160
_symmetry_space_group_name_Hall 'R 3 -2"'
loop_
_atom_site_label
_atom_site_type_symbol
_atom_site_fract_x
_atom_site_fract_y
_atom_site_fract_z
_atom_site_occupancy
Sr1 Sr 0.0000 0.0000 0.0000 1
Sr2 Sr 0.0000 0.0000 0.1250 1
Sr3 Sr 0.0000 0.0000 0.6250 1
Er1 Er 0.0000 0.0000 0.4997 1
Al1 Al 0.0000 0.0000 0.3126 1
Al2 Al 0.0000 0.0000 0.8126 1
Al3 Al 0.0033 0.5016 0.0648 1
Al4 Al 0.1672 0.3344 0.8935 1

---

(11)
# PBE Sr2ErAlTe5, relaxed
# Theoretical density   5.5 Mg/m³
# Calculated volume   33.80 Å³ per atom
# Total moment   0.000 μB/atom
# Uncorrected energy   -4.323 eV/atom
data_Sr2ErAlTe5
_chemical_formula_sum 'Sr8 Er4 Al4 Te20'
_cell_length_a 4.3788
_cell_length_b 20.0658
_cell_length_c 13.8492
_cell_angle_alpha 90.00
_cell_angle_beta 90.00
_cell_angle_gamma 90.00
_symmetry_space_group_name_H-M 'C m c 21'
_symmetry_Int_Tables_number 36
_symmetry_space_group_name_Hall 'C 2c -2'
loop_
_atom_site_label
_atom_site_type_symbol
_atom_site_fract_x
_atom_site_fract_y
_atom_site_fract_z
_atom_site_occupancy
Sr1 Sr 0.0000 0.1203 0.0000 1
Sr2 Sr 0.0000 0.1230 0.6413 1
Er1 Er 0.0000 0.2057 0.3441 1
Al1 Al 0.0000 0.4369 0.7488 1
Te1 Te 0.0000 0.0465 0.3602 1
Te2 Te 0.0000 0.2933 0.9944 1
Te3 Te 0.0000 0.3112 0.6848 1
Te4 Te 0.0000 0.3544 0.3226 1
Te5 Te 0.0000 0.5004 0.0856 1

---

(12)
# PBE SrErAl2Zn2, relaxed
# Theoretical density   5.3 Mg/m³
# ΔH_f (0 K)   -0.37 eV/atom
# Calculated volume   23.14 Å³ per atom
# Total moment   0.000 μB/atom
# Uncorrected energy   -3.080 eV/atom
data_SrErAl2Zn2
_chemical_formula_sum 'Sr1 Er1 Al2 Zn2'
_cell_length_a 4.5683
_cell_length_b 4.5683
_cell_length_c 7.6830
_cell_angle_alpha 90.00
_cell_angle_beta 90.00
_cell_angle_gamma 120.00
_symmetry_space_group_name_H-M 'P -3 m 1'
_symmetry_Int_Tables_number 164
_symmetry_space_group_name_Hall '-P 3 2"'
loop_
_atom_site_label
_atom_site_type_symbol
_atom_site_fract_x
_atom_site_fract_y
_atom_site_fract_z
_atom_site_occupancy
Sr1 Sr 0.0000 0.0000 0.0000 1
Er1 Er 0.0000 0.0000 0.5000 1
Al1 Al 0.3333 0.6667 0.7010 1
Zn1 Zn 0.3333 0.6667 0.3035 1

---

Q: Which formula does entry 9 have?
A: SrErAl